1.
The following is a PBE calculation of a relaxed AgSn2Pt crystal, from OQMD via LeMat-Bulk.

Unit cell a=6.9381 b=6.9381 c=6.9381 alpha=90.00 beta=90.00 gamma=90.00
Last column: nearest neighbours and their distance in Å.
Positions (direct):
Ag (0.0000, 0.0000, 0.0000)  4 Pt 3.00, 4 Sn 3.00
Ag (0.0000, 0.5000, 0.5000)  4 Pt 3.00, 4 Sn 3.00
Ag (0.5000, 0.0000, 0.5000)  4 Pt 3.00, 4 Sn 3.00
Ag (0.5000, 0.5000, 0.0000)  4 Pt 3.00, 4 Sn 3.00
Sn (0.0000, 0.0000, 0.5000)  4 Sn 3.00, 4 Pt 3.00
Sn (0.0000, 0.5000, 0.0000)  4 Sn 3.00, 4 Pt 3.00
Sn (0.2500, 0.2500, 0.2500)  4 Ag 3.00, 4 Sn 3.00
Sn (0.2500, 0.7500, 0.7500)  4 Ag 3.00, 4 Sn 3.00
Sn (0.5000, 0.0000, 0.0000)  4 Sn 3.00, 4 Pt 3.00
Sn (0.5000, 0.5000, 0.5000)  4 Sn 3.00, 4 Pt 3.00
Sn (0.7500, 0.2500, 0.7500)  4 Ag 3.00, 4 Sn 3.00
Sn (0.7500, 0.7500, 0.2500)  4 Sn 3.00, 4 Ag 3.00
Pt (0.2500, 0.2500, 0.7500)  4 Sn 3.00, 4 Ag 3.00
Pt (0.2500, 0.7500, 0.2500)  4 Sn 3.00, 4 Ag 3.00
Pt (0.7500, 0.2500, 0.2500)  4 Sn 3.00, 4 Ag 3.00
Pt (0.7500, 0.7500, 0.7500)  4 Sn 3.00, 4 Ag 3.00

Values from the calculation:
E	-4.137	eV/atom
total magnetization	0.01	Bohr magnetons per cell


2.
The following is a PBE calculation of a relaxed CuSiBiOs crystal, from OQMD via LeMat-Bulk.

Unit cell a=6.4793 b=6.4793 c=6.4793 alpha=90.00 beta=90.00 gamma=90.00
Last column: nearest neighbours and their distance in Å.
Positions (direct):
Cu (0.0000, 0.0000, 0.0000)  4 Bi 2.81, 4 Os 2.81
Cu (0.0000, 0.5000, 0.5000)  4 Bi 2.81, 4 Os 2.81
Cu (0.5000, 0.0000, 0.5000)  4 Bi 2.81, 4 Os 2.81
Cu (0.5000, 0.5000, 0.0000)  4 Bi 2.81, 4 Os 2.81
Si (0.0000, 0.0000, 0.5000)  4 Os 2.81, 4 Bi 2.81
Si (0.0000, 0.5000, 0.0000)  4 Os 2.81, 4 Bi 2.81
Si (0.5000, 0.0000, 0.0000)  4 Os 2.81, 4 Bi 2.81
Si (0.5000, 0.5000, 0.5000)  4 Os 2.81, 4 Bi 2.81
Bi (0.2500, 0.2500, 0.2500)  4 Cu 2.81, 4 Si 2.81
Bi (0.2500, 0.7500, 0.7500)  4 Cu 2.81, 4 Si 2.81
Bi (0.7500, 0.2500, 0.7500)  4 Cu 2.81, 4 Si 2.81
Bi (0.7500, 0.7500, 0.2500)  4 Cu 2.81, 4 Si 2.81
Os (0.2500, 0.2500, 0.7500)  4 Cu 2.81, 4 Si 2.81
Os (0.2500, 0.7500, 0.2500)  4 Cu 2.81, 4 Si 2.81
Os (0.7500, 0.2500, 0.2500)  4 Cu 2.81, 4 Si 2.81
Os (0.7500, 0.7500, 0.7500)  4 Cu 2.81, 4 Si 2.81

Values from the calculation:
E	-5.328	eV/atom
total magnetization	0.00	Bohr magnetons per cell


3.
The following is a PBE calculation of a relaxed KZrSe crystal, from OQMD via LeMat-Bulk.

Unit cell a=7.0033 b=7.0033 c=7.0033 alpha=90.00 beta=90.00 gamma=90.00
Last column: nearest neighbours and their distance in Å.
Positions (direct):
K (0.0000, 0.0000, 0.0000)  4 Se 3.03
K (0.0000, 0.5000, 0.5000)  4 Se 3.03
K (0.5000, 0.0000, 0.5000)  4 Se 3.03
K (0.5000, 0.5000, 0.0000)  4 Se 3.03
Zr (0.0000, 0.0000, 0.5000)  4 Se 3.03
Zr (0.0000, 0.5000, 0.0000)  4 Se 3.03
Zr (0.5000, 0.0000, 0.0000)  4 Se 3.03
Zr (0.5000, 0.5000, 0.5000)  4 Se 3.03
Se (0.2500, 0.2500, 0.7500)  4 Zr 3.03, 4 K 3.03
Se (0.2500, 0.7500, 0.2500)  4 Zr 3.03, 4 K 3.03
Se (0.7500, 0.2500, 0.2500)  4 Zr 3.03, 4 K 3.03
Se (0.7500, 0.7500, 0.7500)  4 Zr 3.03, 4 K 3.03

Values from the calculation:
E	-4.330	eV/atom
total magnetization	10.44	Bohr magnetons per cell


4.
The following is a PBE calculation of a relaxed Tb2NdIn3AgPt2 crystal, from OQMD via LeMat-Bulk.

Unit cell a=3.8393 b=7.8936 c=7.8936 alpha=120.18 beta=90.00 gamma=90.00
Last column: nearest neighbours and their distance in Å.
Positions (direct):
Tb (0.0000, 0.2056, 0.7944)  4 Pt 3.04, 2 In 3.18, 1 Ag 3.24
Tb (0.0000, 0.7944, 0.2056)  4 Pt 3.04, 2 In 3.18, 1 Ag 3.24
Nd (0.0000, 0.6162, 0.6162)  4 Pt 3.10, 6 In 3.19-3.45, 1 Ag 3.25
In (0.5000, 0.2029, 0.4714)  2 Ag 2.86, 2 Pt 2.87-2.95, 2 Tb 3.18
In (0.5000, 0.4714, 0.2029)  2 Ag 2.86, 2 Pt 2.87-2.95, 2 Tb 3.18
In (0.5000, 0.9403, 0.9403)  2 Ag 2.83, 2 Pt 2.96
Ag (0.0000, 0.2038, 0.2038)  6 In 2.83-2.86
Pt (0.5000, 0.5368, 0.8766)  3 In 2.87-2.96, 4 Tb 3.04, 2 Nd 3.10
Pt (0.5000, 0.8766, 0.5368)  3 In 2.87-2.96, 4 Tb 3.04, 2 Nd 3.10

Values from the calculation:
E	-4.942	eV/atom
total magnetization	0.00	Bohr magnetons per cell


5.
The following is a PBE calculation of a relaxed Ni3AgP5 crystal, from OQMD via LeMat-Bulk.

Unit cell a=4.7457 b=4.7457 c=6.9373 alpha=90.00 beta=90.00 gamma=120.00
Last column: nearest neighbours and their distance in Å.
Positions (direct):
Ni (0.0000, 0.5000, 0.0000)  6 P 2.36-2.37, 4 Ni 2.37
Ni (0.5000, 0.0000, 0.0000)  6 P 2.36-2.37, 4 Ni 2.37
Ni (0.5000, 0.5000, 0.0000)  6 P 2.36-2.37, 4 Ni 2.37
Ag (0.0000, 0.0000, 0.5000)  14 P 3.15-3.47
P (0.0000, 0.0000, 0.0000)  6 Ni 2.37
P (0.3333, 0.6667, 0.2765)  3 Ni 2.36
P (0.3333, 0.6667, 0.7235)  3 Ni 2.36
P (0.6667, 0.3333, 0.2765)  3 Ni 2.36
P (0.6667, 0.3333, 0.7235)  3 Ni 2.36

Values from the calculation:
E	-5.040	eV/atom
total magnetization	0.00	Bohr magnetons per cell


6.
The following is a PBE calculation of a relaxed Pm2HS crystal, from OQMD via LeMat-Bulk.

Unit cell a=3.9400 b=3.9400 c=5.4316 alpha=90.00 beta=90.00 gamma=90.00
Last column: nearest neighbours and their distance in Å.
Positions (direct):
Pm (0.0000, 0.0000, 0.0000)  2 H 2.72, 4 S 2.79
Pm (0.5000, 0.5000, 0.5000)  2 S 2.72, 4 H 2.79
H (0.0000, 0.0000, 0.5000)  6 Pm 2.72-2.79
S (0.5000, 0.5000, 0.0000)  6 Pm 2.72-2.79

Values from the calculation:
E	-5.351	eV/atom
total magnetization	0.02	Bohr magnetons per cell


7.
The following is a PBE calculation of a relaxed LuRe2B crystal, from OQMD via LeMat-Bulk.

Unit cell a=6.1908 b=6.1908 c=6.1908 alpha=90.00 beta=90.00 gamma=90.00
Last column: nearest neighbours and their distance in Å.
Positions (direct):
Lu (0.0000, 0.0000, 0.0000)  4 Re 2.68, 4 B 2.68
Lu (0.0000, 0.5000, 0.5000)  4 Re 2.68, 4 B 2.68
Lu (0.5000, 0.0000, 0.5000)  4 Re 2.68, 4 B 2.68
Lu (0.5000, 0.5000, 0.0000)  4 Re 2.68, 4 B 2.68
Re (0.0000, 0.0000, 0.5000)  4 B 2.68, 4 Re 2.68
Re (0.0000, 0.5000, 0.0000)  4 B 2.68, 4 Re 2.68
Re (0.2500, 0.2500, 0.2500)  4 Re 2.68, 4 Lu 2.68
Re (0.2500, 0.7500, 0.7500)  4 Re 2.68, 4 Lu 2.68
Re (0.5000, 0.0000, 0.0000)  4 B 2.68, 4 Re 2.68
Re (0.5000, 0.5000, 0.5000)  4 B 2.68, 4 Re 2.68
Re (0.7500, 0.2500, 0.7500)  4 Re 2.68, 4 Lu 2.68
Re (0.7500, 0.7500, 0.2500)  4 Re 2.68, 4 Lu 2.68
B (0.2500, 0.2500, 0.7500)  4 Re 2.68, 4 Lu 2.68
B (0.2500, 0.7500, 0.2500)  4 Re 2.68, 4 Lu 2.68
B (0.7500, 0.2500, 0.2500)  4 Re 2.68, 4 Lu 2.68
B (0.7500, 0.7500, 0.7500)  4 Re 2.68, 4 Lu 2.68

Values from the calculation:
E	-8.433	eV/atom
total magnetization	0.04	Bohr magnetons per cell


8.
The following is a PBE calculation of a relaxed Er2Lu5Te2Ir2 crystal, from OQMD via LeMat-Bulk.

Unit cell a=9.2383 b=9.2383 c=9.2383 alpha=155.66 beta=66.52 gamma=119.16
Last column: nearest neighbours and their distance in Å.
Positions (direct):
Er (0.1318, 0.0000, 0.1318)  2 Ir 2.81, 1 Te 3.08
Er (0.8682, 0.0000, 0.8682)  2 Ir 2.81, 1 Te 3.08
Lu (0.1036, 0.7891, 0.3146)  3 Ir 2.82-3.05, 1 Te 3.13
Lu (0.4190, 0.4190, 0.0000)  3 Te 3.13-3.15
Lu (0.4745, 0.7891, 0.6854)  3 Ir 2.82-3.05, 1 Te 3.13
Lu (0.5010, 0.1478, 0.3532)  2 Ir 2.81, 2 Te 3.15
Lu (0.7946, 0.1478, 0.6468)  2 Ir 2.81, 2 Te 3.15
Te (0.1550, 0.6550, 0.5000)  4 Lu 3.13-3.15, 4 Er 3.17
Te (0.7532, 0.7532, 0.0000)  2 Er 3.08, 5 Lu 3.13-3.15
Ir (0.2529, 0.4897, 0.7632)  5 Lu 2.81-3.05, 2 Er 2.81
Ir (0.7265, 0.4897, 0.2368)  5 Lu 2.81-3.05, 2 Er 2.81

Values from the calculation:
E	-5.997	eV/atom
total magnetization	0.01	Bohr magnetons per cell